Compound: RbAsF2
Source: Alexandria
Functional: PBE
Structure: optimized geometry

Structure (extended XYZ):
```
8
Lattice="-2.565 2.565 7.088 2.565 -2.565 7.088 2.565 2.565 -7.088" Properties=species:S:1:pos:R:3 pbc="T T T"
Rb 0.000 0.000 0.000
Rb 0.000 2.565 3.544
As 2.565 0.000 3.544
As 0.000 0.000 7.088
F 1.283 -0.657 5.316
F 1.908 1.283 1.772
F 1.283 3.222 -1.772
F 0.657 1.283 8.861
```

The uncorrected formation energy is -1.322 eV/atom. For the total magnetization, the calculation gives 0.00 Bohr magnetons per cell. As for the total energy: -3.662 eV per atom. For the theoretical density, the calculation gives 3.5 g/cm³.


Compound: Rb3As2F9
Source: Alexandria
Functional: PBE
Structure: optimized geometry

Structure (extended XYZ):
```
14
Lattice="6.465 0.000 0.000 -3.233 5.599 0.000 0.000 0.000 7.620" Properties=species:S:1:pos:R:3 pbc="T T T"
Rb 0.000 0.000 0.000
Rb 0.000 3.733 2.558
Rb 3.233 1.866 5.063
As 0.000 3.733 6.332
As 3.233 1.866 1.288
F -1.616 2.799 0.000
F 0.000 2.188 5.220
F -1.338 4.505 5.220
F 1.895 1.094 2.400
F 3.233 0.000 0.000
F 1.616 2.799 0.000
F 1.338 4.505 5.220
F 4.570 1.094 2.400
F 3.233 3.411 2.400
```

The uncorrected formation energy is -2.459 eV/atom. For the total magnetization, the calculation gives 0.00 Bohr magnetons per cell. As for the total energy: -4.534 eV per atom. For the theoretical density, the calculation gives 3.5 g/cm³.


Compound: RbAsF3
Source: Alexandria
Functional: PBE
Structure: optimized geometry

Structure (extended XYZ):
```
5
Lattice="4.496 0.000 0.000 0.000 4.496 0.000 0.000 0.000 4.496" Properties=species:S:1:pos:R:3 pbc="T T T"
Rb 0.000 0.000 0.000
As 2.248 2.248 2.248
F 0.000 2.248 2.248
F 2.248 0.000 2.248
F 2.248 2.248 0.000
```

The uncorrected formation energy is -1.894 eV/atom. For the total magnetization, the calculation gives 0.51 Bohr magnetons per cell. As for the total energy: -4.140 eV per atom. For the theoretical density, the calculation gives 4.0 g/cm³.


What did the third record say?
Compound: RbAsF3
Source: Alexandria
Functional: PBE
Structure: optimized geometry

Structure (extended XYZ):
```
5
Lattice="4.496 0.000 0.000 0.000 4.496 0.000 0.000 0.000 4.496" Properties=species:S:1:pos:R:3 pbc="T T T"
Rb 0.000 0.000 0.000
As 2.248 2.248 2.248
F 0.000 2.248 2.248
F 2.248 0.000 2.248
F 2.248 2.248 0.000
```

The uncorrected formation energy is -1.894 eV/atom. For the total magnetization, the calculation gives 0.51 Bohr magnetons per cell. As for the total energy: -4.140 eV per atom. For the theoretical density, the calculation gives 4.0 g/cm³.


Repeat the third record exactly.
Compound: RbAsF3
Source: Alexandria
Functional: PBE
Structure: optimized geometry

Structure (extended XYZ):
```
5
Lattice="4.496 0.000 0.000 0.000 4.496 0.000 0.000 0.000 4.496" Properties=species:S:1:pos:R:3 pbc="T T T"
Rb 0.000 0.000 0.000
As 2.248 2.248 2.248
F 0.000 2.248 2.248
F 2.248 0.000 2.248
F 2.248 2.248 0.000
```

The uncorrected formation energy is -1.894 eV/atom. For the total magnetization, the calculation gives 0.51 Bohr magnetons per cell. As for the total energy: -4.140 eV per atom. For the theoretical density, the calculation gives 4.0 g/cm³.